1.
VASP calculation (PBE-GGA) on a relaxed BaHW2 crystal.

Structure (CIF):
```
data_BaHW2
_chemical_formula_sum 'Ba4 H4 W8'
_symmetry_space_group_name_H-M 'F m -3 m'
_symmetry_Int_Tables_number 225
_symmetry_space_group_name_Hall '-F 4 2 3'
_cell_length_a 6.537
_cell_length_b 6.537
_cell_length_c 6.537
_cell_angle_alpha 90.00
_cell_angle_beta 90.00
_cell_angle_gamma 90.00
loop_
_atom_site_label
_atom_site_fract_x
_atom_site_fract_y
_atom_site_fract_z
Ba1 0.000 0.000 0.000
H1 0.000 0.000 0.500
W1 0.250 0.250 0.250
```

Results
Total magnetization: 0.0 Bohr magnetons per cell
Polymorph energy (0 for the lowest one): 1.746 eV/atom

---

2.
VASP calculation (PBE-GGA) on a relaxed HoEr3TmSc crystal.

Structure (CIF):
```
data_HoEr3TmSc
_chemical_formula_sum 'Ho4 Er12 Tm4 Sc4'
_symmetry_space_group_name_H-M 'C 1 2/m 1'
_symmetry_Int_Tables_number 12
_symmetry_space_group_name_Hall '-C 2y'
_cell_length_a 21.337
_cell_length_b 5.371
_cell_length_c 6.501
_cell_angle_alpha 90.00
_cell_angle_beta 98.65
_cell_angle_gamma 90.00
loop_
_atom_site_label
_atom_site_fract_x
_atom_site_fract_y
_atom_site_fract_z
Ho1 0.166 0.000 0.038
Er1 0.024 0.000 0.764
Er2 0.158 0.500 0.757
Er3 0.228 0.500 0.312
Tm1 0.072 0.500 0.187
Sc1 0.131 0.000 0.468
```

Results
Total magnetization: 0.0 Bohr magnetons per cell
ΔE_f: 114 kJ/mol of formula units

---

3.
VASP calculation (PBE-GGA) on a relaxed BaSc2As crystal.

Structure (CIF):
```
data_BaSc2As
_chemical_formula_sum 'Ba1 Sc2 As1'
_symmetry_space_group_name_H-M 'P 1 m 1'
_symmetry_Int_Tables_number 6
_symmetry_space_group_name_Hall 'P -2y'
_cell_length_a 4.208
_cell_length_b 4.377
_cell_length_c 7.111
_cell_angle_alpha 90.00
_cell_angle_beta 107.14
_cell_angle_gamma 90.00
loop_
_atom_site_label
_atom_site_fract_x
_atom_site_fract_y
_atom_site_fract_z
Ba1 0.000 0.000 0.000
Sc1 0.270 0.000 0.538
Sc2 0.740 0.500 0.478
As1 0.383 0.500 0.765
```

Results
Total magnetization: 0.8 Bohr magnetons per cell
ΔE_f: -187 kJ/mol of formula units

---

4.
VASP calculation (PBE-GGA) on a relaxed CaTm2Mg9 crystal.

Structure (CIF):
```
data_CaTm2Mg9
_chemical_formula_sum 'Ca3 Tm6 Mg27'
_symmetry_space_group_name_H-M 'R -3 m'
_symmetry_Int_Tables_number 166
_symmetry_space_group_name_Hall '-R 3 2"'
_cell_length_a 6.0565
_cell_length_b 6.0565
_cell_length_c 29.4436
_cell_angle_alpha 90.00
_cell_angle_beta 90.00
_cell_angle_gamma 120.00
loop_
_atom_site_label
_atom_site_fract_x
_atom_site_fract_y
_atom_site_fract_z
Ca1 0.0000 0.0000 0.0000
Tm1 0.0000 0.0000 0.1475
Mg1 0.0000 0.0000 0.3343
Mg2 0.0000 0.0000 0.5000
Mg3 0.0054 0.5027 0.9143
```

Results
Total magnetization: 0.0 Bohr magnetons per cell
ΔE_f: -39 kJ/mol of formula units